VASP calculation (PBE-GGA) on a relaxed structure of Sc2MnCu.

Cell: 9.2268 9.2268 9.2268 Å, 19.35 19.35 19.35°
Last column: magnetic moment on the atom in μB.
Atoms (fractional coordinates):
Cu (0.4941, 0.4941, 0.4941)  0.09
Mn (0.7581, 0.7581, 0.7581)  3.51
Sc (0.0076, 0.0076, 0.0076)  -0.18
Sc (0.2403, 0.2403, 0.2403)  0.26

VASP calculation (PBE-GGA) on a relaxed structure of ScMnCu.

Cell: 4.3579 4.3579 4.3579 Å, 60.00 60.00 60.00°
Last column: magnetic moment on the atom in μB.
Atoms (fractional coordinates):
Cu (0.0000, 0.0000, 0.0000)  0.07
Mn (0.5000, 0.5000, 0.5000)  3.55
Sc (0.2500, 0.2500, 0.2500)  -0.18

VASP calculation (PBE-GGA) on a relaxed structure of Sc2MnCu.

Cell: 5.6572 5.6572 5.6572 Å, 147.07 132.70 58.83°
Last column: magnetic moment on the atom in μB.
Atoms (fractional coordinates):
Cu (0.4804, 0.4804, 0.0000)  0.03
Mn (0.2816, 0.7816, 0.5000)  3.21
Sc (0.0118, 0.0118, 0.0000)  -0.21
Sc (0.7262, 0.2262, 0.5000)  -0.29

Number 1: total magnetization 0.980 μB/atom, formation energy 0.235 eV per atom, E -6.2468 eV/atom. Number 2: total magnetization 1.146 μB/atom, formation energy 0.711 eV per atom, E -5.8215 eV/atom. Number 3: total magnetization 0.648 μB/atom, formation energy -0.020 eV per atom, E -6.5022 eV/atom.